(1)
Material: Na2Tl8Pd3
Method: DFT, PBE-GGA
State: optimized geometry

Structure (POSCAR):
```
Na2Tl8Pd3
1.0
6.7819 -3.9329 0.0000
6.7819 3.9329 0.0000
-1.4202 0.0000 6.4908
Na Tl Pd
2 8 3
direct
0.2161 0.2161 0.3199
0.7839 0.7839 0.6801
0.1563 0.1563 0.8414
0.2057 0.6013 0.6063
0.3935 0.3935 0.0806
0.3987 0.7943 0.3937
0.6013 0.2057 0.6063
0.6065 0.6065 0.9194
0.7943 0.3987 0.3937
0.8437 0.8437 0.1586
0.0000 0.0000 0.5000
0.1800 0.8200 0.0000
0.8200 0.1800 0.0000
```

As for the symmetry: C2/m, No. 12. The crystal system is monoclinic. The calculation puts the relative energy among the computed polymorphs at 29 meV/atom. The value obtained for the density of states at the Fermi level is 7.404 states/eV/f.u.


(2)
Material: Na2Tl3Pd4
Method: DFT, PBE-GGA
State: optimized geometry

Structure (POSCAR):
```
Na2Tl3Pd4
1.0
4.4458 0.0000 0.0000
2.2228 4.5640 0.0000
0.0072 2.0121 8.6661
Na Tl Pd
2 3 4
direct
0.1614 0.1762 0.2217
0.8386 0.8238 0.7783
0.1652 0.1708 0.5869
0.5000 0.5000 0.0000
0.8348 0.8292 0.4131
0.1704 0.1594 0.9058
0.4998 0.4988 0.3297
0.5002 0.5012 0.6703
0.8296 0.8406 0.0942
```

As for the symmetry: P-1, No. 2. The crystal system is triclinic. The calculation puts the relative energy among the computed polymorphs at 44 meV/atom. The value obtained for the density of states at the Fermi level is 2.940 states/eV/f.u.


(3)
Material: Na6Tl5Pd
Method: DFT, PBE-GGA
State: optimized geometry

Structure (POSCAR):
```
Na6Tl5Pd
1.0
4.5316 0.0000 0.0000
0.0000 9.6591 0.0000
-2.1800 0.0000 7.3337
Na Tl Pd
6 5 1
direct
0.0000 0.2426 0.0000
0.0000 0.7574 0.0000
0.3334 0.2650 0.6683
0.3334 0.7350 0.6683
0.6666 0.2650 0.3317
0.6666 0.7350 0.3317
0.1375 0.5000 0.2662
0.1692 0.0000 0.3372
0.5000 0.0000 0.0000
0.8308 0.0000 0.6628
0.8625 0.5000 0.7338
0.5000 0.5000 0.0000
```

As for the symmetry: P2/m, No. 10. The crystal system is monoclinic. The calculation puts the calculated total energy at -2.178 eV per atom. The value obtained for the density of states at the Fermi level is 4.381 states/eV/f.u.


(4)
Material: Na9TlPd4
Method: DFT, PBE-GGA
State: optimized geometry

Structure (POSCAR):
```
Na9TlPd4
1.0
9.6051 0.0000 0.0000
-4.8026 8.3183 0.0000
0.0000 0.0000 9.0070
Na Tl Pd
18 2 8
direct
0.0846 0.5423 0.2500
0.1752 0.3503 0.5604
0.1752 0.3503 0.9396
0.1752 0.8248 0.5604
0.1752 0.8248 0.9396
0.3503 0.1752 0.0604
0.3503 0.1752 0.4396
0.4577 0.5423 0.2500
0.4577 0.9154 0.2500
0.5423 0.0846 0.7500
0.5423 0.4577 0.7500
0.6497 0.8248 0.5604
0.6497 0.8248 0.9396
0.8248 0.1752 0.0604
0.8248 0.1752 0.4396
0.8248 0.6497 0.0604
0.8248 0.6497 0.4396
0.9154 0.4577 0.7500
0.3333 0.6667 0.7500
0.6667 0.3333 0.2500
0.0000 0.0000 0.0000
0.0000 0.0000 0.5000
0.0980 0.1959 0.2500
0.0980 0.9020 0.2500
0.1959 0.0980 0.7500
0.8041 0.9020 0.2500
0.9020 0.0980 0.7500
0.9020 0.8041 0.7500
```

As for the symmetry: P6_3/mmc, No. 194. The crystal system is hexagonal. The calculation puts the calculated total energy at -2.568 eV per atom. The value obtained for the density of states at the Fermi level is 8.595 states/eV/f.u.


(5)
Material: Na3Tl5Pd
Method: DFT, PBE-GGA
State: optimized geometry

Structure (POSCAR):
```
Na3Tl5Pd
1.0
8.5033 0.0000 0.0000
-4.2517 7.3641 0.0000
0.0000 0.0000 3.8162
Na Tl Pd
3 5 1
direct
0.0000 0.3767 0.0000
0.3767 0.0000 0.0000
0.6233 0.6233 0.0000
0.0000 0.7454 0.5000
0.2546 0.2546 0.5000
0.3333 0.6667 0.5000
0.6667 0.3333 0.5000
0.7454 0.0000 0.5000
0.0000 0.0000 0.0000
```

As for the symmetry: P-62m, No. 189. The crystal system is hexagonal. The calculation puts the calculated total energy at -2.458 eV per atom. The value obtained for the density of states at the Fermi level is 3.065 states/eV/f.u.


(6)
Material: NaTl2Pd
Method: DFT, PBE-GGA
State: optimized geometry

Structure (POSCAR):
```
NaTl2Pd
1.0
-4.2403 4.2403 3.0230
4.2403 -4.2403 3.0230
4.2403 4.2403 -3.0230
Na Tl Pd
2 4 2
direct
0.0000 0.0000 0.0000
0.7500 0.2500 0.5000
0.1886 0.6250 0.0636
0.3750 0.4386 0.5636
0.5614 0.1250 0.9364
0.8750 0.8114 0.4364
0.2500 0.7500 0.5000
0.5000 0.5000 0.0000
```

As for the symmetry: I-42d, No. 122. The crystal system is tetragonal. The calculation puts the calculated total energy at -2.858 eV per atom. The value obtained for the density of states at the Fermi level is 2.313 states/eV/f.u.


(7)
Material: NaTlPd
Method: DFT, PBE-GGA
State: optimized geometry

Structure (POSCAR):
```
NaTlPd
1.0
0.0000 3.3307 3.3307
3.3307 0.0000 3.3307
3.3307 3.3307 0.0000
Na Tl Pd
1 1 1
direct
0.0000 0.0000 0.0000
0.5000 0.5000 0.5000
0.7500 0.7500 0.7500
```

As for the symmetry: F-43m, No. 216. The crystal system is cubic. The calculation puts the calculated total energy at -3.075 eV per atom. The value obtained for the density of states at the Fermi level is 1.389 states/eV/f.u.


(8)
Material: Na5Tl5Pd2
Method: DFT, PBE-GGA
State: optimized geometry

Structure (POSCAR):
```
Na5Tl5Pd2
1.0
5.3909 -2.5002 0.0000
5.3909 2.5002 0.0000
-0.4772 0.0000 13.0695
Na Tl Pd
5 5 2
direct
0.0000 0.0000 0.0000
0.1609 0.1609 0.3460
0.3093 0.3093 0.1017
0.6907 0.6907 0.8983
0.8391 0.8391 0.6540
0.1420 0.1420 0.7123
0.3837 0.3837 0.8599
0.5000 0.5000 0.5000
0.6163 0.6163 0.1401
0.8580 0.8580 0.2877
0.4598 0.4598 0.2990
0.5402 0.5402 0.7010
```

As for the symmetry: C2/m, No. 12. The crystal system is monoclinic. The calculation puts the relative energy among the computed polymorphs at 43 meV/atom. The value obtained for the density of states at the Fermi level is 5.783 states/eV/f.u.


(9)
Material: Na3TlPd4
Method: DFT, PBE-GGA
State: optimized geometry

Structure (POSCAR):
```
Na3TlPd4
1.0
-2.9248 4.8221 2.8563
2.9248 -4.8221 2.8563
2.9248 4.8221 -2.8563
Na Tl Pd
3 1 4
direct
0.0000 0.0000 0.0000
0.0628 0.7915 0.2713
0.5202 0.7915 0.7287
0.8962 0.3962 0.5000
0.0825 0.3080 0.7745
0.4988 0.2632 0.7645
0.4988 0.7343 0.2355
0.5335 0.3080 0.2255
```

As for the symmetry: Imm2, No. 44. The crystal system is orthorhombic. The calculation puts the calculated total energy at -3.407 eV per atom. The value obtained for the density of states at the Fermi level is 2.977 states/eV/f.u.


(10)
Material: Na4Tl4Pd
Method: DFT, PBE-GGA
State: optimized geometry

Structure (POSCAR):
```
Na4Tl4Pd
1.0
-3.1052 3.1052 6.6381
3.1052 -3.1052 6.6381
3.1052 3.1052 -6.6381
Na Tl Pd
4 4 1
direct
0.2088 0.2088 0.5953
0.3865 0.7912 0.0000
0.6135 0.6135 0.4047
0.7912 0.3865 0.0000
0.0309 0.6291 0.0000
0.3709 0.3709 0.4018
0.6291 0.0309 0.0000
0.9691 0.9691 0.5982
0.0000 0.0000 0.0000
```

As for the symmetry: I-42m, No. 121. The crystal system is tetragonal. The calculation puts the relative energy among the computed polymorphs at 0 meV/atom. The value obtained for the density of states at the Fermi level is 3.987 states/eV/f.u.


(11)
Material: Na4Tl3Pd2
Method: DFT, PBE-GGA
State: optimized geometry

Structure (POSCAR):
```
Na4Tl3Pd2
1.0
8.0396 -2.1082 0.0000
8.0396 2.1082 0.0000
-2.6104 0.0000 7.1044
Na Tl Pd
4 3 2
direct
0.0942 0.0942 0.3513
0.2728 0.2728 0.8425
0.7272 0.7272 0.1575
0.9058 0.9058 0.6487
0.3986 0.3986 0.3255
0.5000 0.5000 0.0000
0.6014 0.6014 0.6745
0.0938 0.0938 0.9196
0.9062 0.9062 0.0804
```

As for the symmetry: C2/m, No. 12. The crystal system is monoclinic. The calculation puts the calculated total energy at -2.687 eV per atom. The value obtained for the density of states at the Fermi level is 3.063 states/eV/f.u.


(12)
Material: Na6TlPd
Method: DFT, PBE-GGA
State: optimized geometry

Structure (POSCAR):
```
Na6TlPd
1.0
5.3694 0.0000 0.0000
0.0000 7.2812 0.0000
0.0000 0.0000 5.4765
Na Tl Pd
6 1 1
direct
0.0000 0.0000 0.0000
0.0000 0.2350 0.4588
0.0000 0.7650 0.4588
0.5000 0.2296 0.8705
0.5000 0.5000 0.3568
0.5000 0.7704 0.8705
0.0000 0.5000 0.9489
0.5000 0.0000 0.3696
```

As for the symmetry: Pmm2, No. 25. The crystal system is orthorhombic. The calculation puts the calculated total energy at -1.975 eV per atom. The value obtained for the density of states at the Fermi level is 2.966 states/eV/f.u.